[1]
DFT (PBE-GGA) results for a relaxed structure of K2AlCuO4.

Properties
The uncorrected energy comes out at -5.270 eV/atom. The spin magnetization comes out at 0.00 μB per formula unit.

Unit cell a=5.247 b=12.383 c=19.127 alpha=90.00 beta=90.00 gamma=90.00
Space group Fddd (No. 70, origin choice 2)
One atom of each set of equivalent atoms:
K: 0.125 0.125 0.308
Al: 0.125 0.125 0.125
Cu: 0.125 0.125 0.625
O: 0.113 0.281 0.402

[2]
DFT (PBE-GGA) results for a relaxed structure of KAlCu2S4.

Properties
The uncorrected energy comes out at -4.276 eV/atom. The spin magnetization comes out at 0.00 μB per formula unit.

Unit cell a=6.261 b=6.261 c=8.415 alpha=90.00 beta=90.00 gamma=90.00
Space group I-42m (No. 121)
One atom of each set of equivalent atoms:
K: 0.000 0.000 0.000
Al: 0.000 0.000 0.500
Cu: 0.000 0.500 0.250
S: 0.202 0.202 0.336

[3]
DFT (PBE-GGA) results for a relaxed structure of KAl2CuS4.

Properties
The uncorrected energy comes out at -4.508 eV/atom. The spin magnetization comes out at 0.00 μB per formula unit.

Unit cell a=5.401 b=5.401 c=12.344 alpha=90.00 beta=90.00 gamma=90.00
Space group I-42m (No. 121)
One atom of each set of equivalent atoms:
K: 0.000 0.000 0.000
Al: 0.000 0.500 0.250
Cu: 0.000 0.000 0.500
S: 0.213 0.213 0.648